No. 1
PBE-GGA TbEr3Zr2N6, optimized geometry; uncorrected formation energy = -21.037 eV/f.u.; total magnetic moment = 0.00 μB/f.u.; DOS(E_F) = 2.792 states/eV/cell
1.0
7.3480 -1.6845 0.0000
7.3480 1.6845 0.0000
-1.5616 0.0000 6.5790
Tb Er Zr N
1 3 2 6
direct
0.0000 0.0000 0.0000 Tb
0.0000 0.0000 0.5000 Er
0.3330 0.3330 0.1672 Er
0.6670 0.6670 0.8328 Er
0.3328 0.3328 0.6651 Zr
0.6672 0.6672 0.3349 Zr
0.1691 0.1691 0.0958 N
0.1702 0.1702 0.5766 N
0.4942 0.4942 0.7427 N
0.5058 0.5058 0.2573 N
0.8298 0.8298 0.4234 N
0.8309 0.8309 0.9042 N

=====

No. 2
PBE-GGA GaBiP2S, optimized geometry; E above lowest polymorph = 462 meV per atom; uncorrected formation energy = 4.935 eV/f.u.; total magnetic moment = 2.14 μB/f.u.; DOS(E_F) = 4.803 states/eV/cell
1.0
5.3397 0.0000 0.0000
0.0000 5.3397 0.0000
0.0000 0.0000 5.3469
Ga Bi P S
1 1 2 1
direct
0.0000 0.0000 0.0000 Ga
0.5000 0.5000 0.5000 Bi
0.0000 0.5000 0.5000 P
0.5000 0.0000 0.5000 P
0.5000 0.5000 0.0000 S

=====

No. 3
PBE-GGA DyHo2Sc2, optimized geometry; E above lowest polymorph = 15 meV per atom; E_form = 0.0600 eV/atom; total magnetic moment = 0.47 μB/f.u.; DOS(E_F) = 20.350 states/eV/cell
1.0
3.3924 0.0000 0.0000
0.0000 5.4100 0.0000
0.0000 0.0000 15.5172
Dy Ho Sc
2 4 4
direct
0.0000 0.0000 0.0000 Dy
0.5000 0.5000 0.5000 Dy
0.0000 0.5000 0.2886 Ho
0.0000 0.5000 0.7114 Ho
0.5000 0.0000 0.2114 Ho
0.5000 0.0000 0.7886 Ho
0.0000 0.0000 0.4029 Sc
0.0000 0.0000 0.5971 Sc
0.5000 0.5000 0.0971 Sc
0.5000 0.5000 0.9029 Sc

=====

No. 4
PBE-GGA TaNb2N, optimized geometry; uncorrected formation energy = -0.409 eV/f.u.; total magnetic moment = 0.00 μB/f.u.; DOS(E_F) = 2.537 states/eV/cell
1.0
2.7765 0.0000 0.0000
0.0000 2.7765 0.0000
0.0000 0.0000 7.6510
Ta Nb N
1 2 1
direct
0.0000 0.0000 0.0000 Ta
0.5000 0.5000 0.3206 Nb
0.5000 0.5000 0.6794 Nb
0.0000 0.0000 0.5000 N

=====

Energy (computed, eV/atom): -8.8670; -3.3841; -5.2241; -10.1815